one.
LiCoCu2, optimized geometry, DFT PBE-GGA; symmetry = No. 216; DOS(E_F) = 7.82 states/eV/f.u.; density = 6.8 Mg/m³
1.0
0.000 2.863 2.863
2.863 0.000 2.863
2.863 2.863 0.000
Li Co Cu
1 1 2
direct
0.000 0.000 0.000
0.750 0.750 0.750
0.250 0.250 0.250
0.500 0.500 0.500

two.
LiCoCu2, optimized geometry, DFT PBE-GGA; symmetry = No. 166; DOS(E_F) = 2.12 states/eV/f.u.; density = 6.8 Mg/m³
1.0
1.264 0.730 8.539
-1.264 0.730 8.539
0.000 -1.460 8.539
Li Co Cu
1 1 2
direct
0.000 0.000 0.000
0.500 0.500 0.500
0.248 0.248 0.248
0.752 0.752 0.752

three.
LiCoCu2, optimized geometry, DFT PBE-GGA; symmetry = No. 122; DOS(E_F) = 3.87 states/eV/f.u.; density = 6.3 Mg/m³
1.0
-1.723 1.723 8.576
1.723 -1.723 8.576
1.723 1.723 -8.576
Li Co Cu
2 2 4
direct
0.000 0.000 0.000
0.750 0.250 0.500
0.250 0.750 0.500
0.500 0.500 0.000
0.127 0.625 0.002
0.375 0.377 0.502
0.623 0.125 0.998
0.875 0.873 0.498

Which one sits at the bottom of the stability order? three does.

one.
LiCoCu2, optimized geometry, DFT PBE-GGA; symmetry = No. 65; DOS(E_F) = 3.36 states/eV/f.u.; density = 6.9 Mg/m³
1.0
2.588 -3.640 0.000
2.588 3.640 0.000
0.000 0.000 2.465
Li Co Cu
1 1 2
direct
0.000 0.000 0.000
0.500 0.500 0.000
0.000 0.500 0.500
0.500 0.000 0.500

two.
LiCoCu2, optimized geometry, DFT PBE-GGA; symmetry = No. 25; DOS(E_F) = 4.16 states/eV/f.u.; density = 6.8 Mg/m³
1.0
2.503 0.000 0.000
0.000 4.229 0.000
0.000 0.000 4.425
Li Co Cu
1 1 2
direct
0.000 0.000 0.000
0.000 0.500 0.642
0.500 0.000 0.507
0.500 0.500 0.149

Which one sits at the bottom of the stability order? two does.

one.
LiCoCu2, optimized geometry, DFT PBE-GGA; symmetry = No. 99; DOS(E_F) = 3.06 states/eV/f.u.; density = 6.6 Mg/m³
1.0
2.485 0.000 0.000
0.000 2.485 0.000
0.000 0.000 7.824
Li Co Cu
1 1 2
direct
0.000 0.000 0.000
0.500 0.500 0.259
0.000 0.000 0.498
0.500 0.500 0.739

two.
LiCoCu2, optimized geometry, DFT PBE-GGA; symmetry = No. 8; DOS(E_F) = 3.36 states/eV/f.u.; density = 6.8 Mg/m³
1.0
4.298 -1.230 0.000
4.298 1.230 0.000
-0.626 0.000 4.446
Li Co Cu
1 1 2
direct
0.000 0.000 0.000
0.242 0.242 0.725
0.498 0.498 0.507
0.754 0.754 0.234

Which one sits at the bottom of the stability order? one does.

one.
LiCoCu2, optimized geometry, DFT PBE-GGA; symmetry = No. 119; DOS(E_F) = 6.59 states/eV/f.u.; density = 6.8 Mg/m³
1.0
-1.797 1.797 3.627
1.797 -1.797 3.627
1.797 1.797 -3.627
Li Co Cu
1 1 2
direct
0.000 0.000 0.000
0.250 0.750 0.500
0.500 0.500 0.000
0.750 0.250 0.500

two.
LiCoCu2, optimized geometry, DFT PBE-GGA; symmetry = No. 139; DOS(E_F) = 5.06 states/eV/f.u.; density = 6.8 Mg/m³
1.0
-1.871 1.871 3.359
1.871 -1.871 3.359
1.871 1.871 -3.359
Li Co Cu
1 1 2
direct
0.000 0.000 0.000
0.500 0.500 0.000
0.250 0.750 0.500
0.750 0.250 0.500

three.
LiCoCu2, optimized geometry, DFT PBE-GGA; symmetry = No. 71; DOS(E_F) = 3.12 states/eV/f.u.; density = 6.7 Mg/m³
1.0
-1.291 2.144 4.299
1.291 -2.144 4.299
1.291 2.144 -4.299
Li Co Cu
1 1 2
direct
0.000 0.000 0.000
0.500 0.500 0.000
0.255 0.755 0.500
0.745 0.245 0.500

Which one sits at the bottom of the stability order? three does.

one.
LiCoCu, optimized geometry, DFT PBE-GGA; symmetry = No. 107; DOS(E_F) = 2.01 states/eV/f.u.; density = 5.9 Mg/m³
1.0
-1.227 1.227 6.010
1.227 -1.227 6.010
1.227 1.227 -6.010
Li Co Cu
1 1 1
direct
0.000 0.000 0.000
0.670 0.670 0.000
0.327 0.327 0.000

two.
LiCoCu, optimized geometry, DFT PBE-GGA; symmetry = No. 156; DOS(E_F) = 2.41 states/eV/f.u.; density = 6.0 Mg/m³
1.0
2.507 0.000 0.000
-1.253 2.171 0.000
0.000 0.000 6.543
Li Co Cu
1 1 1
direct
0.000 0.000 0.000
0.333 0.667 0.332
0.667 0.333 0.659

Which one sits at the bottom of the stability order? one does.

one.
LiCoCu, optimized geometry, DFT PBE-GGA; symmetry = No. 2; DOS(E_F) = 2.13 states/eV/f.u.; density = 6.0 Mg/m³
1.0
2.513 0.000 0.000
0.017 4.477 0.000
0.048 1.168 6.393
Li Co Cu
2 2 2
direct
0.249 0.247 0.001
0.751 0.753 0.999
0.247 0.028 0.650
0.753 0.972 0.350
0.253 0.477 0.331
0.747 0.523 0.669

two.
LiCoCu, optimized geometry, DFT PBE-GGA; symmetry = No. 216; DOS(E_F) = 5.41 states/eV/f.u.; density = 5.0 Mg/m³
1.0
0.000 2.788 2.788
2.788 0.000 2.788
2.788 2.788 0.000
Li Co Cu
1 1 1
direct
0.000 0.000 0.000
0.500 0.500 0.500
0.750 0.750 0.750

three.
LiCoCu, optimized geometry, DFT PBE-GGA; symmetry = No. 44; DOS(E_F) = 4.28 states/eV/f.u.; density = 6.1 Mg/m³
1.0
-1.207 1.922 3.815
1.207 -1.922 3.815
1.207 1.922 -3.815
Li Co Cu
1 1 1
direct
0.000 0.000 0.000
0.672 0.672 0.000
0.330 0.330 0.000

four.
LiCoCu, optimized geometry, DFT PBE-GGA; symmetry = No. 42; DOS(E_F) = 2.29 states/eV/f.u.; density = 6.0 Mg/m³
1.0
0.000 2.092 6.499
1.316 0.000 6.499
1.316 2.092 0.000
Li Co Cu
1 1 1
direct
0.000 0.000 0.000
0.667 0.667 0.333
0.331 0.331 0.669

Which one sits at the bottom of the stability order? two does.

one.
Li2CoCu2, optimized geometry, DFT PBE-GGA; symmetry = No. 139; DOS(E_F) = 6.77 states/eV/f.u.; density = 5.1 Mg/m³
1.0
-1.622 1.622 6.214
1.622 -1.622 6.214
1.622 1.622 -6.214
Li Co Cu
2 1 2
direct
0.250 0.750 0.500
0.750 0.250 0.500
0.000 0.000 0.000
0.406 0.406 0.000
0.594 0.594 0.000

two.
Li2CoCu2, optimized geometry, DFT PBE-GGA; symmetry = No. 127; DOS(E_F) = 2.58 states/eV/f.u.; density = 5.4 Mg/m³
1.0
6.902 0.000 0.000
0.000 6.902 0.000
0.000 0.000 2.581
Li Co Cu
4 2 4
direct
0.171 0.329 0.000
0.329 0.829 0.000
0.671 0.171 0.000
0.829 0.671 0.000
0.000 0.000 0.500
0.500 0.500 0.500
0.130 0.630 0.500
0.370 0.130 0.500
0.630 0.870 0.500
0.870 0.370 0.500

three.
Li2CoCu2, optimized geometry, DFT PBE-GGA; symmetry = No. 127; DOS(E_F) = 2.19 states/eV/f.u.; density = 5.6 Mg/m³
1.0
6.823 0.000 0.000
0.000 6.823 0.000
0.000 0.000 2.562
Li Co Cu
4 2 4
direct
0.124 0.376 0.000
0.376 0.876 0.000
0.624 0.124 0.000
0.876 0.624 0.000
0.000 0.000 0.000
0.500 0.500 0.000
0.178 0.678 0.500
0.322 0.178 0.500
0.678 0.822 0.500
0.822 0.322 0.500

Which one sits at the bottom of the stability order? one does.